# Sr2ZnGePt6 GGA-PBE relaxed
data_Sr2ZnGePt6
_chemical_formula_sum 'Sr2 Zn1 Ge1 Pt6'
_cell_length_a 8.486
_cell_length_b 8.486
_cell_length_c 8.486
_cell_angle_alpha 39.33
_cell_angle_beta 39.33
_cell_angle_gamma 39.33
_space_group_name_H-M_alt 'P 1'
_space_group_IT_number 1
_space_group_name_Hall 'P 1'
loop_
_atom_site_label
_atom_site_type_symbol
_atom_site_fract_x
_atom_site_fract_y
_atom_site_fract_z
Sr1 Sr 0.205 0.205 0.205
Sr2 Sr 0.795 0.795 0.795
Zn1 Zn 0.000 0.000 0.000
Ge1 Ge 0.500 0.500 0.500
Pt1 Pt 0.248 0.749 0.749
Pt2 Pt 0.251 0.251 0.752
Pt3 Pt 0.251 0.752 0.251
Pt4 Pt 0.749 0.248 0.749
Pt5 Pt 0.749 0.749 0.248
Pt6 Pt 0.752 0.251 0.251
# N(E_F) = 3.63 states/eV per cell
# energy of formation = -0.502 eV/atom
# energy = -50.52 eV per formula unit

=====

# LiLa2Ag GGA-PBE relaxed
data_LiLa2Ag
_chemical_formula_sum 'Li1 La2 Ag1'
_cell_length_a 5.198
_cell_length_b 5.198
_cell_length_c 5.198
_cell_angle_alpha 119.86
_cell_angle_beta 119.86
_cell_angle_gamma 90.25
_space_group_name_H-M_alt 'P 1'
_space_group_IT_number 1
_space_group_name_Hall 'P 1'
loop_
_atom_site_label
_atom_site_type_symbol
_atom_site_fract_x
_atom_site_fract_y
_atom_site_fract_z
Li1 Li 0.000 0.000 0.000
La1 La 0.500 0.500 0.000
La2 La 0.750 0.250 0.500
Ag1 Ag 0.250 0.750 0.500
# polymorph energy (0 for the lowest one) = 50.0 meV per atom
# N(E_F) = 1.39 states/eV per cell
# energy of formation = -0.029 eV/atom
# energy = -14.74 eV per formula unit